Record 1
Sc4Cd2Pb: optimized geometry, GGA-PBE.

Values from the calculation:
For the formation energy, the calculation gives -0.71 eV per formula unit.

Lattice parameters (Å, degrees): 4.9584 4.9584 24.2972 90.00 90.00 120.00
Space group R-3m (No. 166, hexagonal axes)
Asymmetric unit:
1 Sc 0.0000 0.0000 0.1147 x6
2 Sc 0.0000 0.0000 0.3696 x6
3 Cd 0.0000 0.0000 0.2510 x6
4 Pb 0.0000 0.0000 0.5000 x3

---

Record 2
CsNiPdSe2: optimized geometry, GGA-PBE.

Values from the calculation:
As for the formation energy from raw total energies: -0.54 eV/atom.

Lattice parameters (Å, degrees): 3.7656 4.2377 7.5240 90.00 90.00 90.00
Space group Pmmm (No. 47)
Asymmetric unit:
1 Cs 0.0000 0.0000 0.0000 x1
2 Ni 0.0000 0.5000 0.5000 x1
3 Pd 0.5000 0.0000 0.5000 x1
4 Se 0.5000 0.5000 0.2993 x2

---

Record 3
RbZrAg2Sb: optimized geometry, GGA-PBE.

Values from the calculation:
As for the formation energy from raw total energies: 1.50 eV/atom.

Lattice parameters (Å, degrees): 5.2149 5.2149 6.0552 90.00 90.00 90.00
Space group P4/mmm (No. 123)
Asymmetric unit:
1 Rb 0.0000 0.0000 0.0000 x1
2 Zr 0.5000 0.5000 0.5000 x1
3 Ag 0.0000 0.5000 0.0000 x2
4 Sb 0.0000 0.0000 0.5000 x1

---

Looking at total magnetization for the records above, in order, we have 0.7; 0.3; 0.0 μB/f.u..